DFT (GGA-PBEsol) results for a relaxed Cd2NiW crystal.

Properties
Raw total energy: -63.84 eV for the cell shown
DFT formation energy: 6.22 kcal/mol of atoms
Offset from the most stable computed form: 0 meV/atom

Cell and atoms, written as CIF:
```
data_Cd2NiW
_chemical_formula_sum 'Cd6 Ni3 W3'
_symmetry_space_group_name_H-M 'R 3 m'
_symmetry_Int_Tables_number 160
_symmetry_space_group_name_Hall 'R 3 -2"'
_cell_length_a 2.8245
_cell_length_b 2.8245
_cell_length_c 28.3947
_cell_angle_alpha 90.00
_cell_angle_beta 90.00
_cell_angle_gamma 120.00
loop_
_atom_site_label
_atom_site_type_symbol
_atom_site_fract_x
_atom_site_fract_y
_atom_site_fract_z
Cd1 Cd 0.0000 0.0000 0.0000
Cd2 Cd 0.0000 0.0000 0.2360
Ni1 Ni 0.0000 0.0000 0.4912
W1 W 0.0000 0.0000 0.7563
```

=====

DFT (GGA-PBEsol) results for a relaxed Cd2NiW crystal.

Properties
Raw total energy: -40.79 eV for the cell shown
DFT formation energy: 11.33 kcal/mol of atoms
Offset from the most stable computed form: 221 meV/atom

Cell and atoms, written as CIF:
```
data_Cd2NiW
_chemical_formula_sum 'Cd4 Ni2 W2'
_symmetry_space_group_name_H-M 'I m m m'
_symmetry_Int_Tables_number 71
_symmetry_space_group_name_Hall '-I 2 2'
_cell_length_a 2.7657
_cell_length_b 4.7112
_cell_length_c 9.7406
_cell_angle_alpha 90.00
_cell_angle_beta 90.00
_cell_angle_gamma 90.00
loop_
_atom_site_label
_atom_site_type_symbol
_atom_site_fract_x
_atom_site_fract_y
_atom_site_fract_z
Cd1 Cd 0.0000 0.0000 0.2254
Ni1 Ni 0.0000 0.5000 0.5000
W1 W 0.0000 0.5000 0.0000
```

=====

DFT (GGA-PBEsol) results for a relaxed CdNiW3 crystal.

Properties
Raw total energy: -41.08 eV for the cell shown
DFT formation energy: 35.50 kcal/mol of atoms

Cell and atoms, written as CIF:
```
data_CdNiW3
_chemical_formula_sum 'Cd1 Ni1 W3'
_symmetry_space_group_name_H-M 'P m -3 m'
_symmetry_Int_Tables_number 221
_symmetry_space_group_name_Hall '-P 4 2 3'
_cell_length_a 4.4593
_cell_length_b 4.4593
_cell_length_c 4.4593
_cell_angle_alpha 90.00
_cell_angle_beta 90.00
_cell_angle_gamma 90.00
loop_
_atom_site_label
_atom_site_type_symbol
_atom_site_fract_x
_atom_site_fract_y
_atom_site_fract_z
Cd1 Cd 0.0000 0.0000 0.0000
Ni1 Ni 0.5000 0.5000 0.5000
W1 W 0.0000 0.5000 0.5000
```